This record from Alexandria describes an optimized crystal structure of Rb2UNb3O12. The functional is PBE.

Summary:
VASP energy   -147.86 eV/cell
Fermi-level density of states   0.59 states/eV/atom
SG   No. 166
Mass density   4651 kg/m3
Magnetic moment   0.00 μB per formula unit
Formation energy without anion corrections   -2.496 eV per atom

Cell lengths 7.7280, 7.7280, 7.7280 Å; angles 58.36, 58.36, 58.36 degrees
Positions (direct):
O 0.9357 0.9357 0.3197
O 0.6803 0.0643 0.0643
O 0.3097 0.3097 0.9344
O 0.9357 0.3197 0.9357
O 0.3097 0.9344 0.3097
O 0.0656 0.6903 0.6903
O 0.9344 0.3097 0.3097
O 0.6903 0.0656 0.6903
O 0.3197 0.9357 0.9357
O 0.0643 0.0643 0.6803
O 0.0643 0.6803 0.0643
O 0.6903 0.6903 0.0656
Nb 0.5000 0.0000 0.0000
Nb 0.0000 0.5000 0.0000
Nb 0.0000 0.0000 0.5000
U 0.0000 0.0000 0.0000
Rb 0.6097 0.6097 0.6097
Rb 0.3903 0.3903 0.3903